[1]
A relaxed InAs2PbBr crystal, computed with GGA-PBEsol.

Lattice parameters (Å, degrees): 5.1617 5.1617 5.3832 90.00 90.00 90.00
Fractional positions:
In (0.0000, 0.0000, 0.0000)
Pb (0.5000, 0.5000, 0.5000)
As (0.0000, 0.5000, 0.0000)
Br (0.0000, 0.0000, 0.5000)
As (0.5000, 0.0000, 0.0000)

Calculated values
Raw formation energy   0.37 eV/atom
Total magnetization   0.002 μB/cell
DOS at the Fermi energy   4.76 states/eV/f.u.
VASP energy   -3.440 eV/atom

[2]
A relaxed InAs2RhBr crystal, computed with GGA-PBEsol.

Lattice parameters (Å, degrees): 5.0775 5.0775 5.1942 90.00 90.00 90.00
Fractional positions:
Rh (0.5000, 0.5000, 0.5000)
In (0.0000, 0.0000, 0.0000)
As (0.0000, 0.5000, 0.0000)
Br (0.0000, 0.0000, 0.5000)
As (0.5000, 0.0000, 0.0000)

Calculated values
Raw formation energy   1.30 eV/atom
Total magnetization   0.736 μB/cell
DOS at the Fermi energy   5.69 states/eV/f.u.
VASP energy   -3.339 eV/atom

[3]
A relaxed InAsSeBr2 crystal, computed with GGA-PBEsol.

Lattice parameters (Å, degrees): 5.1671 5.1671 5.5517 90.00 90.00 90.00
Fractional positions:
In (0.0000, 0.0000, 0.0000)
As (0.0000, 0.0000, 0.5000)
Se (0.5000, 0.5000, 0.5000)
Br (0.0000, 0.5000, 0.0000)
Br (0.5000, 0.0000, 0.0000)

Calculated values
Raw formation energy   0.41 eV/atom
Total magnetization   0.376 μB/cell
DOS at the Fermi energy   2.44 states/eV/f.u.
VASP energy   -2.729 eV/atom

[4]
A relaxed InSiAsBr2 crystal, computed with GGA-PBEsol.

Lattice parameters (Å, degrees): 4.9252 5.0908 5.0908 90.00 90.00 90.00
Fractional positions:
In (0.5000, 0.5000, 0.5000)
Br (0.0000, 0.0000, 0.5000)
Si (0.0000, 0.0000, 0.0000)
As (0.5000, 0.0000, 0.0000)
Br (0.0000, 0.5000, 0.0000)

Calculated values
Raw formation energy   0.05 eV/atom
Total magnetization   0.001 μB/cell
DOS at the Fermi energy   3.30 states/eV/f.u.
VASP energy   -3.468 eV/atom